NbReGeBi2 | PBE | relaxed

Cell and atoms, written as POSCAR:
```
NbReGeBi2
1.0
5.4753 0.0000 0.0000
0.0000 5.4753 0.0000
0.0000 0.0000 4.9721
Nb Re Ge Bi
1 1 1 2
Direct
0.0000 0.0000 0.0000
0.5000 0.5000 0.5000
0.0000 0.0000 0.5000
0.0000 0.5000 0.0000
0.5000 0.0000 0.0000
```

## Properties
The total magnetization is 0.90 μB/atom. The calculation puts the mass density at 8.6 g cm⁻³. The calculation puts the formation energy at 1490 meV/atom.

CdGePd | PBE | relaxed

Cell and atoms, written as POSCAR:
```
CdGePd
1.0
3.1716 0.0000 0.0000
1.5551 5.2168 0.0000
0.0245 1.7518 6.5920
Cd Ge Pd
2 2 2
Direct
0.1517 0.1947 0.0882
0.8483 0.8053 0.9118
0.1414 0.2120 0.5241
0.8586 0.7880 0.4759
0.4700 0.5614 0.2666
0.5300 0.4386 0.7334
```

## Properties
The total magnetization is 0.00 μB/atom. The calculation puts the mass density at 8.9 g cm⁻³. The calculation puts the formation energy at -229 meV/atom.

Rb2TaAsO6 | PBE | relaxed

Cell and atoms, written as POSCAR:
```
Rb2TaAsO6
1.0
0.0000 3.9563 3.9563
3.9563 0.0000 3.9563
3.9563 3.9563 0.0000
Rb Ta As O
2 1 1 6
Direct
0.2500 0.2500 0.2500
0.7500 0.7500 0.7500
0.0000 0.0000 0.0000
0.5000 0.5000 0.5000
0.2572 0.2572 0.7428
0.2572 0.7428 0.2572
0.2572 0.7428 0.7428
0.7428 0.2572 0.2572
0.7428 0.2572 0.7428
0.7428 0.7428 0.2572
```

## Properties
The total magnetization is 0.00 μB/atom. The calculation puts the mass density at 7.0 g cm⁻³. The formation energy without anion corrections is -1.79 eV per atom.

no.,raw total energy (eV/atom)
1,-5.489
2,-3.804
3,-6.611